VASP calculation (GGA+U) on a relaxed Li3La3Mo2O12 crystal.

## Properties
M_tot: 0.000 μB/atom
DFT total energy: -144.814 eV/f.u.

CIF file:
```
data_Li3La3Mo2O12
_cell_length_a 12.735
_cell_length_b 12.735
_cell_length_c 12.735
_cell_angle_alpha 90.00
_cell_angle_beta 90.00
_cell_angle_gamma 90.00
_symmetry_space_group_name_H-M 'I a -3 d'
_symmetry_Int_Tables_number 230
_symmetry_space_group_name_Hall '-I 4bd 2c 3'
loop_
_atom_site_label
_atom_site_type_symbol
_atom_site_fract_x
_atom_site_fract_y
_atom_site_fract_z
Li1 Li 0.000 0.250 0.375
La1 La 0.000 0.250 0.125
Mo1 Mo 0.000 0.000 0.000
O1 O 0.028 0.051 0.642
```